1.
Density functional theory data (PBE-GGA) for a relaxed structure of Ac3ZnSi.

Values from the calculation:
Distance to the lowest polymorph of the same formula (meV per atom): 0
E_form (uncorrected) (meV/atom): -287
SG: Pmmn, No. 59
Magnetization (μB/f.u.): 0.000

Cell lengths 4.7494, 6.9771, 9.9913 Å; angles 90.00, 90.00, 90.00 degrees
Atoms (fractional coordinates):
Ac1 0.7500 0.2741 0.0516
Ac2 0.7500 0.2742 0.4483
Ac3 0.2500 0.2374 0.7499
Ac4 0.7500 0.7626 0.2501
Ac5 0.2500 0.7258 0.5517
Ac6 0.2500 0.7259 0.9484
Zn1 0.7500 0.9144 0.7500
Zn2 0.2500 0.0856 0.2500
Si1 0.2500 0.4598 0.2500
Si2 0.7500 0.5402 0.7500

2.
Density functional theory data (PBE-GGA) for a relaxed structure of BeGa2B2Rh5.

Values from the calculation:
SG: P4/mbm, No. 127
Energy of formation (kJ/mol of formula units): -446.8
Magnetization (μB/f.u.): 0.000

Cell lengths 2.8708, 9.1591, 9.1591 Å; angles 90.00, 90.00, 90.00 degrees
Atoms (fractional coordinates):
Rh1 0.5000 0.7010 0.4176
Rh2 0.5000 0.7990 0.9176
Rh3 0.5000 0.5000 0.0000
Rh4 0.5000 0.2990 0.5824
Rh5 0.5000 0.2010 0.0824
Rh6 0.5000 0.9176 0.2010
Rh7 0.5000 0.5824 0.7010
Rh8 0.5000 0.0824 0.7990
Rh9 0.5000 0.0000 0.5000
Rh10 0.5000 0.4176 0.2990
Ga1 0.0000 0.3265 0.8265
Ga2 0.0000 0.8265 0.6735
Ga3 0.0000 0.1735 0.3265
Ga4 0.0000 0.6735 0.1735
B1 0.0000 0.1328 0.6328
B2 0.0000 0.3672 0.1328
B3 0.0000 0.8672 0.3672
B4 0.0000 0.6328 0.8672
Be1 0.0000 0.5000 0.5000
Be2 0.0000 0.0000 0.0000

Look up the magnetization of the first one. 0.000 μB/f.u.

Number 1 is which compound? Ac3ZnSi